Here is a relaxed SrCaSmMg crystal from the Alexandria database. Energies are from PBE.

## Properties
Calculated formation energy (eV per atom): 0.10
D(E_F) (states/eV per cell): 6.39
Space group: F-43m, No. 216
Theoretical density (g cm⁻³): 3.462

a b c (Å): 5.897 5.897 5.897
angles (deg): 60.00 60.00 60.00
Sites, in units of the cell vectors:
Sr (0.750, 0.750, 0.750)
Ca (0.500, 0.500, 0.500)
Mg (0.000, 0.000, 0.000)
Sm (0.250, 0.250, 0.250)

---

Here is a relaxed AlSeSCl2 crystal from the Alexandria database. Energies are from PBE.

## Properties
D(E_F) (states/eV per cell): 2.97
Relative energy among the computed polymorphs (meV/atom): 0
Formation energy from raw total energies (meV per atom): -219.5
Space group: P4/mmm, No. 123
Theoretical density (g cm⁻³): 3.328

a b c (Å): 4.520 4.520 5.103
angles (deg): 90.00 90.00 90.00
Last column: magnetic moment on the atom in μB.
Sites, in units of the cell vectors:
S (0.000, 0.000, 0.500)  0.04
Al (0.000, 0.000, 0.000)  0.00
Se (0.500, 0.500, 0.500)  0.52
Cl (0.000, 0.500, 0.000)  0.05
Cl (0.500, 0.000, 0.000)  0.05

---

Here is a relaxed RbAsRhBr2 crystal from the Alexandria database. Energies are from PBE.

## Properties
D(E_F) (states/eV per cell): 1.92
Relative energy among the computed polymorphs (meV/atom): 0
Formation energy from raw total energies (meV per atom): -515.1
Space group: P4/mmm, No. 123
Theoretical density (g cm⁻³): 4.898

a b c (Å): 5.564 5.564 4.633
angles (deg): 90.00 90.00 90.00
Sites, in units of the cell vectors:
As (0.000, 0.000, 0.500)
Rh (0.000, 0.000, 0.000)
Br (0.000, 0.500, 0.000)
Br (0.500, 0.000, 0.000)
Rb (0.500, 0.500, 0.500)

---

Here is a relaxed Nb2ZnSe crystal from the Alexandria database. Energies are from PBE.

## Properties
D(E_F) (states/eV per cell): 2.76
Relative energy among the computed polymorphs (meV/atom): 125
Formation energy from raw total energies (meV per atom): 149.2
Space group: I-42d, No. 122
Theoretical density (g cm⁻³): 7.382

a b c (Å): 3.943 3.943 9.954
angles (deg): 78.58 78.58 90.00
Sites, in units of the cell vectors:
Nb (0.618, 0.125, 0.250)
Nb (0.132, 0.625, 0.250)
Nb (0.375, 0.382, 0.750)
Nb (0.875, 0.868, 0.750)
Zn (0.500, 0.500, 0.000)
Zn (0.250, 0.750, 0.500)
Se (0.000, 0.000, 0.000)
Se (0.750, 0.250, 0.500)

---

Here is a relaxed Tb3Y3TmTe8 crystal from the Alexandria database. Energies are from PBE.

## Properties
D(E_F) (states/eV per cell): 6.90
Formation energy from raw total energies (meV per atom): -1373.2
Space group: R-3m, No. 166
Theoretical density (g cm⁻³): 6.891

a b c (Å): 8.702 8.702 8.701
angles (deg): 120.00 90.00 120.00
Sites, in units of the cell vectors:
Tb (0.000, 0.000, 0.000)
Tb (0.000, 0.500, 0.000)
Tb (0.500, 0.500, 0.000)
Y (0.500, 0.000, 0.500)
Y (0.500, 0.500, 0.500)
Y (0.000, 0.500, 0.500)
Tm (0.000, 0.000, 0.500)
Te (0.250, 0.500, 0.251)
Te (0.750, 0.500, 0.749)
Te (0.747, 0.495, 0.248)
Te (0.253, 0.505, 0.752)
Te (0.748, 0.000, 0.248)
Te (0.252, 0.000, 0.752)
Te (0.253, 0.000, 0.248)
Te (0.747, 0.000, 0.752)

---

Here is a relaxed BaAcF5 crystal from the Alexandria database. Energies are from PBE.

## Properties
D(E_F) (states/eV per cell): 0.00
Formation energy from raw total energies (meV per atom): -3952.3
Space group: P4/mmm, No. 123
Theoretical density (g cm⁻³): 6.645

a b c (Å): 4.166 4.166 6.614
angles (deg): 90.00 90.00 89.99
Sites, in units of the cell vectors:
Ba (0.000, 0.000, 0.000)
Ac (0.500, 0.500, 0.500)
F (0.500, 0.000, 0.246)
F (0.000, 0.500, 0.246)
F (0.000, 0.000, 0.500)
F (0.000, 0.500, 0.754)
F (0.500, 0.000, 0.754)

---

Here is a relaxed GdDy6 crystal from the Alexandria database. Energies are from PBE.

## Properties
Calculated formation energy (eV per atom): 1.43
D(E_F) (states/eV per cell): 10.43
Space group: Im-3m, No. 229
Theoretical density (g cm⁻³): 7.177

a b c (Å): 6.982 6.982 6.982
angles (deg): 109.47 109.47 109.47
Last column: magnetic moment on the atom in μB.
Sites, in units of the cell vectors:
Gd (0.000, 0.000, 0.000)  -6.89
Dy (0.250, 0.750, 0.500)  0.09
Dy (0.500, 0.750, 0.250)  0.09
Dy (0.250, 0.500, 0.750)  0.09
Dy (0.750, 0.250, 0.500)  0.09
Dy (0.500, 0.250, 0.750)  0.09
Dy (0.750, 0.500, 0.250)  0.09

---

Here is a relaxed LuInGe4 crystal from the Alexandria database. Energies are from PBE.

## Properties
Calculated formation energy (eV per atom): -0.09
D(E_F) (states/eV per cell): 3.11
Space group: F-43m, No. 216
Theoretical density (g cm⁻³): 7.711

a b c (Å): 5.612 5.612 5.612
angles (deg): 60.00 60.00 60.00
Sites, in units of the cell vectors:
Ge (0.625, 0.625, 0.124)
Ge (0.625, 0.124, 0.625)
Ge (0.625, 0.625, 0.625)
Ge (0.124, 0.625, 0.625)
Lu (0.000, 0.000, 0.000)
In (0.250, 0.250, 0.250)

---

Here is a relaxed LaCdO3 crystal from the Alexandria database. Energies are from PBE.

## Properties
D(E_F) (states/eV per cell): 1.02
Formation energy from raw total energies (meV per atom): -1649.9
Space group: Pm-3m, No. 221
Theoretical density (g cm⁻³): 7.023

a b c (Å): 4.136 4.136 4.136
angles (deg): 90.00 90.00 90.00
Sites, in units of the cell vectors:
Cd (0.000, 0.000, 0.000)
O (0.000, 0.500, 0.000)
O (0.000, 0.000, 0.500)
O (0.500, 0.000, 0.000)
La (0.500, 0.500, 0.500)

---

Here is a relaxed Mo2WSe crystal from the Alexandria database. Energies are from PBE.

## Properties
D(E_F) (states/eV per cell): 3.61
Formation energy from raw total energies (meV per atom): 553.3
Space group: F-43m, No. 216
Theoretical density (g cm⁻³): 11.720

a b c (Å): 4.500 4.500 4.500
angles (deg): 60.00 60.00 60.00
Sites, in units of the cell vectors:
Mo (0.000, 0.000, 0.000)
Mo (0.250, 0.250, 0.250)
Se (0.500, 0.500, 0.500)
W (0.750, 0.750, 0.750)

---

Here is a relaxed GeB2AsF crystal from the Alexandria database. Energies are from PBE.

## Properties
D(E_F) (states/eV per cell): 4.78
Formation energy from raw total energies (meV per atom): 1085.4
Space group: P4/mmm, No. 123
Theoretical density (g cm⁻³): 3.536

a b c (Å): 3.964 5.624 3.964
angles (deg): 90.00 90.00 90.00
Sites, in units of the cell vectors:
As (0.000, 0.000, 0.000)
B (0.000, 0.000, 0.500)
B (0.500, 0.000, 0.000)
Ge (0.000, 0.500, 0.000)
F (0.500, 0.500, 0.500)

---

Here is a relaxed BaBeHg2 crystal from the Alexandria database. Energies are from PBE.

## Properties
Calculated formation energy (eV per atom): 0.16
D(E_F) (states/eV per cell): 2.40
Space group: Cmmm, No. 65
Theoretical density (g cm⁻³): 9.022

a b c (Å): 3.574 3.574 7.891
angles (deg): 90.00 90.00 91.69
Sites, in units of the cell vectors:
Be (0.500, 0.500, 0.750)
Hg (0.000, 0.000, 0.937)
Hg (0.000, 0.000, 0.563)
Ba (0.500, 0.500, 0.250)

---

What is the formula in the eleventh record? GeB2AsF